MgO2F2: relaxed, PBE-GGA.

```
MgO2F2
1.0
-3.507 1.536 0.394
-1.065 -1.572 -3.348
-1.282 -3.449 2.027
F O Mg
2 2 1
Direct
0.000 0.500 0.000 F
0.500 0.000 0.000 F
0.500 0.500 0.500 O
0.000 0.000 0.500 O
0.000 0.000 0.000 Mg
```

Output
For the raw formation energy, the calculation gives -781 meV per atom.

Mg2O2F5: relaxed, PBE-GGA.

```
Mg2O2F5
1.0
4.090 0.088 0.314
-0.176 3.759 1.245
-0.439 -0.139 6.665
O F Mg
2 5 2
Direct
0.520 0.454 0.091 O
0.480 0.546 0.909 O
0.501 0.856 0.289 F
0.004 0.315 0.369 F
0.000 0.000 0.000 F
0.499 0.144 0.711 F
0.996 0.685 0.631 F
0.001 0.847 0.306 Mg
0.999 0.153 0.694 Mg
```

Output
For the raw formation energy, the calculation gives -2334 meV per atom.

MgO2F2: relaxed, PBE-GGA.

```
MgO2F2
1.0
3.466 0.000 0.000
0.000 3.466 0.000
0.000 0.000 4.535
F O Mg
2 2 1
Direct
0.000 0.000 0.500 F
0.000 0.000 0.000 F
0.000 0.500 0.000 O
0.500 0.000 0.000 O
0.500 0.500 0.500 Mg
```

Output
For the raw formation energy, the calculation gives -249 meV per atom.

MgOF2: relaxed, PBE-GGA.

```
MgOF2
1.0
1.769 0.000 7.259
-0.884 1.532 7.259
-0.884 -1.532 7.259
F Mg O
2 1 1
Direct
0.877 0.877 0.877 F
0.123 0.123 0.123 F
0.500 0.500 0.500 Mg
0.000 0.000 0.000 O
```

Output
For the raw formation energy, the calculation gives -1873 meV per atom. Its energy above the most stable polymorph in this dataset is 0 meV/atom.

MgOF2: relaxed, PBE-GGA.

```
MgOF2
1.0
-6.635 -1.867 -3.880
-5.366 -5.003 -2.954
-7.237 -3.121 -0.660
F Mg O
2 1 1
Direct
0.076 0.076 0.076 F
0.924 0.924 0.924 F
0.000 0.000 0.000 Mg
0.500 0.500 0.500 O
```

Output
For the raw formation energy, the calculation gives -723 meV per atom. Its energy above the most stable polymorph in this dataset is 1149 meV/atom.

Mg2OF2: relaxed, PBE-GGA.

```
Mg2OF2
1.0
-3.757 -1.147 2.489
2.316 -5.504 0.959
3.750 2.787 6.945
O Mg F
4 8 8
Direct
0.250 0.286 0.117 O
0.250 0.786 0.383 O
0.750 0.714 0.883 O
0.750 0.214 0.617 O
0.250 0.071 0.290 Mg
0.250 0.145 0.915 Mg
0.750 0.855 0.085 Mg
0.750 0.929 0.710 Mg
0.750 0.355 0.415 Mg
0.250 0.571 0.210 Mg
0.750 0.429 0.790 Mg
0.250 0.645 0.585 Mg
0.750 0.577 0.230 F
0.750 0.646 0.572 F
0.250 0.854 0.072 F
0.250 0.923 0.730 F
0.250 0.423 0.770 F
0.750 0.146 0.928 F
0.250 0.354 0.428 F
0.750 0.077 0.270 F
```

Output
For the raw formation energy, the calculation gives -2827 meV per atom. Its energy above the most stable polymorph in this dataset is 0 meV/atom.

Mg2PO4F: relaxed, PBE-GGA.

```
Mg2PO4F
1.0
-9.203 1.179 8.829
-0.939 -9.699 0.317
7.522 -4.246 8.408
O Mg P F
64 32 16 16
Direct
0.769 0.484 0.382 O
0.349 0.305 0.831 O
0.413 0.479 0.940 O
0.166 0.973 0.455 O
0.151 0.305 0.331 O
0.849 0.695 0.669 O
0.202 0.260 0.541 O
0.390 0.821 0.827 O
0.525 0.022 0.616 O
0.702 0.740 0.959 O
0.651 0.695 0.169 O
0.644 0.313 0.329 O
0.947 0.768 0.047 O
0.773 0.520 0.118 O
0.837 0.982 0.933 O
0.913 0.521 0.560 O
0.553 0.768 0.547 O
0.475 0.978 0.384 O
0.727 0.520 0.618 O
0.337 0.018 0.567 O
0.227 0.480 0.882 O
0.905 0.799 0.835 O
0.917 0.472 0.949 O
0.447 0.232 0.453 O
0.110 0.821 0.327 O
0.017 0.014 0.620 O
0.798 0.740 0.459 O
0.953 0.242 0.463 O
0.587 0.521 0.060 O
0.731 0.484 0.882 O
0.610 0.179 0.173 O
0.799 0.262 0.041 O
0.595 0.799 0.335 O
0.405 0.201 0.665 O
0.547 0.242 0.963 O
0.201 0.738 0.959 O
0.517 0.986 0.880 O
0.666 0.027 0.045 O
0.269 0.516 0.118 O
0.273 0.480 0.382 O
0.087 0.479 0.440 O
0.356 0.687 0.671 O
0.299 0.738 0.459 O
0.047 0.758 0.537 O
0.095 0.201 0.165 O
0.856 0.313 0.829 O
0.163 0.018 0.067 O
0.417 0.528 0.551 O
0.334 0.973 0.955 O
0.663 0.982 0.433 O
0.483 0.014 0.120 O
0.890 0.179 0.673 O
0.231 0.516 0.618 O
0.834 0.027 0.545 O
0.083 0.528 0.051 O
0.983 0.986 0.380 O
0.053 0.232 0.953 O
0.025 0.978 0.884 O
0.701 0.262 0.541 O
0.298 0.260 0.041 O
0.144 0.687 0.171 O
0.975 0.022 0.116 O
0.583 0.472 0.449 O
0.453 0.758 0.037 O
0.319 0.954 0.419 Mg
0.481 0.808 0.691 Mg
0.429 0.449 0.413 Mg
0.571 0.551 0.587 Mg
0.819 0.046 0.081 Mg
0.005 0.210 0.308 Mg
0.570 0.466 0.900 Mg
0.267 0.694 0.813 Mg
0.505 0.790 0.192 Mg
0.519 0.192 0.309 Mg
0.181 0.954 0.919 Mg
0.823 0.964 0.394 Mg
0.929 0.551 0.087 Mg
0.681 0.046 0.581 Mg
0.323 0.036 0.106 Mg
0.767 0.306 0.687 Mg
0.733 0.306 0.187 Mg
0.995 0.790 0.692 Mg
0.756 0.707 0.807 Mg
0.930 0.466 0.400 Mg
0.177 0.036 0.606 Mg
0.256 0.293 0.693 Mg
0.677 0.964 0.894 Mg
0.244 0.293 0.193 Mg
0.071 0.449 0.913 Mg
0.744 0.707 0.307 Mg
0.495 0.210 0.808 Mg
0.233 0.694 0.313 Mg
0.019 0.808 0.191 Mg
0.981 0.192 0.809 Mg
0.430 0.534 0.100 Mg
0.070 0.534 0.600 Mg
0.823 0.621 0.576 P
0.572 0.880 0.424 P
0.175 0.618 0.075 P
0.323 0.379 0.924 P
0.325 0.618 0.575 P
0.677 0.621 0.076 P
0.825 0.382 0.925 P
0.072 0.120 0.076 P
0.928 0.880 0.924 P
0.675 0.382 0.425 P
0.077 0.883 0.426 P
0.423 0.883 0.926 P
0.177 0.379 0.424 P
0.923 0.117 0.574 P
0.428 0.120 0.576 P
0.577 0.117 0.074 P
0.202 0.088 0.759 F
0.162 0.831 0.721 F
0.050 0.586 0.755 F
0.416 0.331 0.217 F
0.798 0.912 0.241 F
0.838 0.169 0.279 F
0.450 0.586 0.255 F
0.084 0.331 0.717 F
0.916 0.669 0.283 F
0.662 0.169 0.779 F
0.950 0.414 0.245 F
0.702 0.912 0.741 F
0.550 0.414 0.745 F
0.298 0.088 0.259 F
0.338 0.831 0.221 F
0.584 0.669 0.783 F
```

Output
For the raw formation energy, the calculation gives -2821 meV per atom.

MgP2OF: relaxed, PBE-GGA.

```
MgP2OF
1.0
-3.802 -0.867 -0.581
0.830 -1.182 -3.668
0.777 -4.497 1.625
F P O Mg
1 2 1 1
Direct
0.000 0.000 0.000 F
0.000 0.500 0.000 P
0.500 0.000 0.000 P
0.000 0.000 0.500 O
0.500 0.500 0.500 Mg
```

Output
For the raw formation energy, the calculation gives 270 meV per atom. Its energy above the most stable polymorph in this dataset is 0 meV/atom.

MgP2OF: relaxed, PBE-GGA.

```
MgP2OF
1.0
-4.797 0.529 0.639
-0.826 -2.691 -3.971
-0.060 -3.055 2.082
Mg P F O
1 2 1 1
Direct
0.000 0.000 0.000 Mg
0.500 0.000 0.000 P
0.000 0.500 0.000 P
0.500 0.500 0.500 F
0.000 0.000 0.500 O
```

Output
For the raw formation energy, the calculation gives 344 meV per atom. Its energy above the most stable polymorph in this dataset is 74 meV/atom.

MgP2O6F: relaxed, PBE-GGA.

```
MgP2O6F
1.0
-0.267 4.470 -0.760
-3.917 0.332 -6.470
-6.681 1.790 3.077
P F O Mg
4 2 12 2
Direct
0.325 0.773 0.587 P
0.675 0.227 0.413 P
0.825 0.587 0.773 P
0.175 0.413 0.227 P
0.250 0.933 0.067 F
0.750 0.067 0.933 F
0.020 0.694 0.606 O
0.480 0.394 0.306 O
0.532 0.211 0.610 O
0.244 0.311 0.060 O
0.032 0.610 0.211 O
0.980 0.306 0.394 O
0.756 0.689 0.940 O
0.968 0.390 0.789 O
0.468 0.789 0.390 O
0.520 0.606 0.694 O
0.256 0.940 0.689 O
0.744 0.060 0.311 O
0.250 0.132 0.868 Mg
0.750 0.868 0.132 Mg
```

Output
For the raw formation energy, the calculation gives -2135 meV per atom.

MgPbOF2: relaxed, PBE-GGA.

```
MgPbOF2
1.0
4.600 0.000 0.000
0.000 4.600 0.000
0.000 0.000 4.473
Mg Pb F O
1 1 2 1
Direct
0.500 0.500 0.500 Mg
0.000 0.000 0.000 Pb
0.500 0.000 0.000 F
0.000 0.500 0.000 F
0.000 0.000 0.500 O
```

Output
For the raw formation energy, the calculation gives -1325 meV per atom. Its energy above the most stable polymorph in this dataset is 1105 meV/atom.

MgPbOF2: relaxed, PBE-GGA.

```
MgPbOF2
1.0
3.966 0.000 0.000
0.000 3.966 0.000
0.000 0.000 4.310
O F Pb Mg
1 2 1 1
Direct
0.000 0.000 0.500 O
0.500 0.000 0.000 F
0.000 0.500 0.000 F
0.500 0.500 0.500 Pb
0.000 0.000 0.000 Mg
```

Output
For the raw formation energy, the calculation gives -2430 meV per atom. Its energy above the most stable polymorph in this dataset is 0 meV/atom.

MgPdO2F: relaxed, PBE-GGA.

```
MgPdO2F
1.0
3.984 0.000 0.000
0.000 3.984 0.000
0.000 0.000 3.638
F Pd O Mg
1 1 2 1
Direct
0.000 0.000 0.500 F
0.500 0.500 0.500 Pd
0.000 0.500 0.000 O
0.500 0.000 0.000 O
0.000 0.000 0.000 Mg
```

Output
For the raw formation energy, the calculation gives -926 meV per atom.

MgPdOF2: relaxed, PBE-GGA.

```
MgPdOF2
1.0
-0.921 -3.612 -1.886
-1.310 -1.569 3.644
-3.778 1.365 -0.770
F Pd O Mg
2 1 1 1
Direct
0.500 0.000 0.000 F
0.000 0.500 0.000 F
0.000 0.000 0.000 Pd
0.000 0.000 0.500 O
0.500 0.500 0.500 Mg
```

Output
For the raw formation energy, the calculation gives -1082 meV per atom. Its energy above the most stable polymorph in this dataset is 492 meV/atom.

MgPdO2F: relaxed, PBE-GGA.

```
MgPdO2F
1.0
4.029 0.000 0.000
0.000 4.029 0.000
0.000 0.000 4.012
F O Pd Mg
1 2 1 1
Direct
0.000 0.000 0.500 F
0.000 0.500 0.000 O
0.500 0.000 0.000 O
0.000 0.000 0.000 Pd
0.500 0.500 0.500 Mg
```

Output
For the raw formation energy, the calculation gives -855 meV per atom.

MgPdOF2: relaxed, PBE-GGA.

```
MgPdOF2
1.0
3.717 0.000 0.000
0.000 3.717 0.000
0.000 0.000 4.356
O F Mg Pd
1 2 1 1
Direct
0.000 0.000 0.500 O
0.500 0.000 0.000 F
0.000 0.500 0.000 F
0.000 0.000 0.000 Mg
0.500 0.500 0.500 Pd
```

Output
For the raw formation energy, the calculation gives -1575 meV per atom. Its energy above the most stable polymorph in this dataset is 0 meV/atom.

MgPtO2F: relaxed, PBE-GGA.

```
MgPtO2F
1.0
3.993 0.000 0.000
0.000 3.993 0.000
0.000 0.000 3.575
Mg O Pt F
1 2 1 1
Direct
0.000 0.000 0.000 Mg
0.000 0.500 0.000 O
0.500 0.000 0.000 O
0.500 0.500 0.500 Pt
0.000 0.000 0.500 F
```

Output
For the raw formation energy, the calculation gives -736 meV per atom.

MgPtO2F: relaxed, PBE-GGA.

```
MgPtO2F
1.0
-0.501 -3.953 0.384
1.942 0.094 3.499
-3.704 0.668 2.038
O F Mg Pt
2 1 1 1
Direct
0.000 0.500 0.000 O
0.500 0.000 0.000 O
0.000 0.000 0.500 F
0.500 0.500 0.500 Mg
0.000 0.000 0.000 Pt
```

Output
For the raw formation energy, the calculation gives -719 meV per atom.

PuMg3O6F2: relaxed, PBE-GGA.

```
PuMg3O6F2
1.0
-2.830 -1.714 -3.067
4.429 0.056 -4.117
-0.624 -4.932 3.703
O Mg Pu F
6 3 1 2
Direct
0.734 0.321 0.160 O
0.734 0.840 0.160 O
0.266 0.160 0.840 O
0.707 0.842 0.684 O
0.266 0.679 0.840 O
0.293 0.158 0.316 O
0.000 0.500 0.000 Mg
0.500 0.500 0.500 Mg
0.500 0.000 0.500 Mg
0.500 0.000 0.000 Pu
0.741 0.337 0.673 F
0.259 0.663 0.327 F
```

Output
For the raw formation energy, the calculation gives -2521 meV per atom.